[1]
RbScW3: optimized geometry, GGA-PBE.

a = 4.9178 Å, b = 4.9178 Å, c = 4.9178 Å
α = 90.00°, β = 90.00°, γ = 90.00°
Space group Pm-3m (No. 221)
Asymmetric unit:
Rb  0.0000  0.0000  0.0000 [1 per cell]
Sc  0.5000  0.5000  0.5000 [1 per cell]
W  0.0000  0.5000  0.5000 [3 per cell]

## Properties
energy of formation = 2.8243 eV per atom
ΔE to the lowest computed polymorph = 0.000 eV/atom
final energy = -6.407 eV per atom



[2]
RbScW2: optimized geometry, GGA-PBE.

a = 4.1248 Å, b = 4.1248 Å, c = 21.2036 Å
α = 90.00°, β = 90.00°, γ = 90.00°
Space group I-42d (No. 122)
Asymmetric unit:
Rb  0.0000  0.0000  0.0000 [4 per cell]
Sc  0.0000  0.0000  0.5000 [4 per cell]
W  0.1914  0.7500  0.6250 [8 per cell]

## Properties
energy of formation = 1.7774 eV per atom
ΔE to the lowest computed polymorph = 0.000 eV/atom
final energy = -6.524 eV per atom



[3]
RbSc3W: optimized geometry, GGA-PBE.

a = 5.3357 Å, b = 5.3357 Å, c = 5.3357 Å
α = 90.00°, β = 90.00°, γ = 90.00°
Space group Pm-3m (No. 221)
Asymmetric unit:
Rb  0.0000  0.0000  0.0000 [1 per cell]
Sc  0.0000  0.5000  0.5000 [3 per cell]
W  0.5000  0.5000  0.5000 [1 per cell]

## Properties
energy of formation = 0.7112 eV per atom
ΔE to the lowest computed polymorph = 0.000 eV/atom
final energy = -5.872 eV per atom



[4]
RbScZn2W: optimized geometry, GGA-PBE.

a = 5.5063 Å, b = 5.5063 Å, c = 4.9535 Å
α = 90.00°, β = 90.00°, γ = 90.00°
Space group P4/mmm (No. 123)
Asymmetric unit:
Rb  0.0000  0.0000  0.0000 [1 per cell]
Sc  0.5000  0.5000  0.5000 [1 per cell]
Zn  0.0000  0.5000  0.5000 [2 per cell]
W  0.5000  0.5000  0.0000 [1 per cell]

## Properties
energy of formation = 1.2032 eV per atom
final energy = -3.357 eV per atom



[5]
RbY3Sc: optimized geometry, GGA-PBE.

a = 5.8473 Å, b = 5.8473 Å, c = 5.8473 Å
α = 90.00°, β = 90.00°, γ = 90.00°
Space group Pm-3m (No. 221)
Asymmetric unit:
Rb  0.0000  0.0000  0.0000 [1 per cell]
Y  0.0000  0.5000  0.5000 [3 per cell]
Sc  0.5000  0.5000  0.5000 [1 per cell]

## Properties
energy of formation = 0.6779 eV per atom
ΔE to the lowest computed polymorph = 0.000 eV/atom
final energy = -4.660 eV per atom



[6]
Rb2YSc: optimized geometry, GGA-PBE.

a = 9.0268 Å, b = 9.0268 Å, c = 9.0268 Å
α = 90.00°, β = 90.00°, γ = 90.00°
Space group Fm-3m (No. 225)
Asymmetric unit:
Rb  0.2500  0.2500  0.2500 [8 per cell]
Y  0.0000  0.0000  0.0000 [4 per cell]
Sc  0.0000  0.0000  0.5000 [4 per cell]

## Properties
energy of formation = 1.0231 eV per atom
ΔE to the lowest computed polymorph = 0.000 eV/atom
final energy = -2.660 eV per atom